## PtAu (PBE)

Data for crystalline PtAu at its relaxed geometry.

Structure (POSCAR):
```
PtAu
1.0
4.5063 0.0000 0.0000
-2.2532 3.9026 0.0000
0.0000 0.0000 5.3754
Pt Au
2 2
Direct
0.3333 0.6667 0.2500
0.6667 0.3333 0.7500
0.3333 0.6667 0.7500
0.6667 0.3333 0.2500
```

Output
Formation energy: 0.7454 eV per atom
Symmetry: No. 194